Entry a
The following is a PBE-GGA calculation of an optimized crystal structure of Y2VRu, from Alexandria.

Cell: 5.6853 5.8584 5.9180 Å, 70.57 87.84 77.25°
Element x y z (fractional)
1 Y 0.2572 0.4566 0.8556
2 Y 0.7428 0.5434 0.1444
3 Y 0.8489 0.1307 0.7073
4 Y 0.1511 0.8693 0.2927
5 Ru 0.6176 0.0563 0.2110
6 Ru 0.3824 0.9437 0.7890
7 V 0.6472 0.7316 0.5693
8 V 0.3528 0.2684 0.4307

The density is 6.046 Mg/m³. The space-group type is P-1.

***

Entry b
The following is a PBE-GGA calculation of an optimized crystal structure of Y2VRu, from Alexandria.

Cell: 5.6527 5.8768 5.8765 Å, 69.08 87.42 79.86°
Element x y z (fractional)
1 Y 0.4653 0.4406 0.9542
2 Y 0.5829 0.0108 0.5236
3 Y 0.1627 0.7257 0.3527
4 Y 0.0562 0.1444 0.7838
5 Ru 0.6601 0.8902 0.0847
6 Ru 0.9441 0.6270 0.8640
7 V 0.9566 0.3088 0.2258
8 V 0.7005 0.5259 0.4079

The density is 6.103 Mg/m³. The space-group type is P1.

***

entry a is the most stable structure; the next one sits 66 meV/atom above it.

***

Entry a
The following is a PBE-GGA calculation of an optimized crystal structure of Tc2P2Pd, from Alexandria.

Cell: 6.8677 6.8677 2.8850 Å, 90.00 90.00 90.00°
Element x y z (fractional)
1 P 0.3512 0.8512 0.0000
2 P 0.8512 0.6488 0.0000
3 P 0.6488 0.1488 0.0000
4 P 0.1488 0.3512 0.0000
5 Tc 0.1476 0.6476 0.5000
6 Tc 0.6476 0.8524 0.5000
7 Tc 0.8524 0.3524 0.5000
8 Tc 0.3524 0.1476 0.5000
9 Pd 0.0000 0.0000 0.0000
10 Pd 0.5000 0.5000 0.0000

The density is 8.893 Mg/m³. The space-group type is P4/mbm.

***

Entry b
The following is a PBE-GGA calculation of an optimized crystal structure of Tc2P2Pd, from Alexandria.

Cell: 3.5535 3.5535 6.3377 Å, 73.72 73.72 90.00°
Element x y z (fractional)
1 P 0.7500 0.2500 0.5000
2 P 0.2500 0.7500 0.5000
3 Tc 0.3855 0.3855 0.2291
4 Tc 0.6145 0.6145 0.7709
5 Pd 0.0000 0.0000 0.0000

The density is 8.235 Mg/m³. The space-group type is I4/mmm.

***

entry a is the most stable structure; the next one sits 199 meV/atom above it.